[1]
# RbFeSb3, relaxed, DFT GGA-PBE
data_RbFeSb3
_cell_length_a 5.169
_cell_length_b 5.169
_cell_length_c 5.169
_cell_angle_alpha 90.00
_cell_angle_beta 90.00
_cell_angle_gamma 90.00
_space_group_name_H-M_alt 'P m -3 m'
_space_group_IT_number 221
_space_group_name_Hall '-P 4 2 3'
loop_
_atom_site_label
_atom_site_fract_x
_atom_site_fract_y
_atom_site_fract_z
Rb1 0.000 0.000 0.000
Fe1 0.500 0.500 0.500
Sb1 0.000 0.500 0.500
# Formation energy without anion corrections, eV per formula unit: 1.23



[2]
# LaIn9Ir2, relaxed, DFT GGA-PBE
data_LaIn9Ir2
_cell_length_a 12.288
_cell_length_b 12.288
_cell_length_c 7.410
_cell_angle_alpha 90.00
_cell_angle_beta 90.00
_cell_angle_gamma 90.00
_space_group_name_H-M_alt 'I 41/a m d'
_space_group_IT_number 141
loop_
_space_group_symop_operation_xyz
'x,y,z'
'-x,-y,-z'
'-y+1/4,x+3/4,z+1/4'
'y+1/4,-x+3/4,-z+1/4'
'-x+1/2,-y,z+1/2'
'x+1/2,y,-z+1/2'
'y+1/4,-x+1/4,z+3/4'
'-y+1/4,x+1/4,-z+3/4'
'x,-y,-z'
'-x,y,z'
'-y+1/4,-x+1/4,-z+3/4'
'y+1/4,x+1/4,z+3/4'
'-x+1/2,y,-z+1/2'
'x+1/2,-y,z+1/2'
'y+1/4,x+3/4,-z+1/4'
'-y+1/4,-x+3/4,z+1/4'
'x+1/2,y+1/2,z+1/2'
'-x+1/2,-y+1/2,-z+1/2'
'-y+3/4,x+1/4,z+3/4'
'y+3/4,-x+1/4,-z+3/4'
'-x,-y+1/2,z'
'x,y+1/2,-z'
'y+3/4,-x+3/4,z+1/4'
'-y+3/4,x+3/4,-z+1/4'
'x+1/2,-y+1/2,-z+1/2'
'-x+1/2,y+1/2,z+1/2'
'-y+3/4,-x+3/4,-z+1/4'
'y+3/4,x+3/4,z+1/4'
'-x,y+1/2,-z'
'x,-y+1/2,z'
'y+3/4,x+1/4,-z+3/4'
'-y+3/4,-x+1/4,z+3/4'
loop_
_atom_site_label
_atom_site_fract_x
_atom_site_fract_y
_atom_site_fract_z
La1 0.000 0.250 0.375
In1 0.000 0.250 0.875
In2 0.120 0.064 0.674
Ir1 0.000 0.000 0.000
# Formation energy from the elements, eV/f.u.: -1.08



[3]
# LuAl, relaxed, DFT GGA-PBE
data_LuAl
_cell_length_a 5.764
_cell_length_b 11.216
_cell_length_c 5.512
_cell_angle_alpha 90.00
_cell_angle_beta 90.00
_cell_angle_gamma 90.00
_space_group_name_H-M_alt 'P b c m'
_space_group_IT_number 57
loop_
_space_group_symop_operation_xyz
'x,y,z'
'-x,-y,-z'
'-x,-y,z+1/2'
'x,y,-z+1/2'
'x,-y+1/2,-z'
'-x,y+1/2,z'
'-x,y+1/2,-z+1/2'
'x,-y+1/2,z+1/2'
loop_
_atom_site_label
_atom_site_fract_x
_atom_site_fract_y
_atom_site_fract_z
Lu1 0.105 0.170 0.250
Lu2 0.341 0.018 0.750
Al1 0.156 0.596 0.750
Al2 0.429 0.750 0.000
# Formation energy from the elements, eV/f.u.: -0.81



[4]
# Sr6Li2N, relaxed, DFT GGA-PBE
data_Sr6Li2N
_cell_length_a 7.883
_cell_length_b 7.886
_cell_length_c 13.591
_cell_angle_alpha 90.00
_cell_angle_beta 125.40
_cell_angle_gamma 90.00
_space_group_name_H-M_alt 'P 1 21/c 1'
_space_group_IT_number 14
loop_
_space_group_symop_operation_xyz
'x,y,z'
'-x,-y,-z'
'-x,y+1/2,-z+1/2'
'x,-y+1/2,z+1/2'
loop_
_atom_site_label
_atom_site_fract_x
_atom_site_fract_y
_atom_site_fract_z
Sr1 0.190 0.003 0.235
Sr2 0.227 0.737 0.023
Sr3 0.286 0.205 0.024
Li1 0.253 0.016 0.750
N1 0.000 0.000 0.000
# Relative energy among the computed polymorphs, kJ per mole of atoms: 0.0
# Formation energy without anion corrections, eV per formula unit: -1.43



Total magnetic moment
In order: 0.0000 0.0000 0.0003 0.0806
Unit: μB/atom